(1)
Density functional theory data (SCAN) for a PBEsol-optimized structure of SnAs2PSe.

Results
- Raw formation energy: 263 kJ/mol of formula units
- Uncorrected energy: -104.054 eV for the cell shown
- Energy above the lowest structure with this stoichiometry: 0.0 kJ/mol of atoms

Cell and atoms, written as CIF:
```
data_SnAs2PSe
_chemical_formula_sum 'Sn1 As2 P1 Se1'
_space_group_name_H-M_alt 'P 4/m m m'
_space_group_IT_number 123
_space_group_name_Hall '-P 4 2'
_cell_length_a 4.794
_cell_length_b 4.794
_cell_length_c 4.744
_cell_angle_alpha 90.00
_cell_angle_beta 90.00
_cell_angle_gamma 90.00
loop_
_atom_site_label
_atom_site_type_symbol
_atom_site_fract_x
_atom_site_fract_y
_atom_site_fract_z
Sn1 Sn 0.000 0.000 0.000
As1 As 0.000 0.500 0.500
P1 P 0.500 0.500 0.500
Se1 Se 0.500 0.500 0.000
```

(2)
Density functional theory data (SCAN) for a PBEsol-optimized structure of NbAs2OsBr.

Results
- Raw formation energy: 652 kJ/mol of formula units
- Uncorrected energy: -158.093 eV for the cell shown

Cell and atoms, written as CIF:
```
data_NbAs2OsBr
_chemical_formula_sum 'Nb1 As2 Os1 Br1'
_space_group_name_H-M_alt 'P 4/m m m'
_space_group_IT_number 123
_space_group_name_Hall '-P 4 2'
_cell_length_a 4.956
_cell_length_b 4.956
_cell_length_c 4.894
_cell_angle_alpha 90.00
_cell_angle_beta 90.00
_cell_angle_gamma 90.00
loop_
_atom_site_label
_atom_site_type_symbol
_atom_site_fract_x
_atom_site_fract_y
_atom_site_fract_z
Nb1 Nb 0.000 0.000 0.000
As1 As 0.000 0.500 0.000
Os1 Os 0.500 0.500 0.500
Br1 Br 0.000 0.000 0.500
```

(3)
Density functional theory data (SCAN) for a PBEsol-optimized structure of RbCrCuF6.

Results
- Raw formation energy: -2350 kJ/mol of formula units
- Uncorrected energy: -399.687 eV for the cell shown

Cell and atoms, written as CIF:
```
data_RbCrCuF6
_chemical_formula_sum 'Rb4 Cr4 Cu4 F24'
_space_group_name_H-M_alt 'I m m a'
_space_group_IT_number 74
_space_group_name_Hall '-I 2b 2'
_cell_length_a 6.973
_cell_length_b 7.297
_cell_length_c 10.447
_cell_angle_alpha 90.00
_cell_angle_beta 90.00
_cell_angle_gamma 90.00
loop_
_atom_site_label
_atom_site_type_symbol
_atom_site_fract_x
_atom_site_fract_y
_atom_site_fract_z
Rb1 Rb 0.000 0.250 0.103
Cr1 Cr 0.000 0.000 0.500
Cu1 Cu 0.250 0.250 0.750
F1 F 0.000 0.250 0.445
F2 F 0.000 0.250 0.823
F3 F 0.195 0.039 0.620
```

(4)
Density functional theory data (SCAN) for a PBEsol-optimized structure of K2LiVS4.

Results
- Raw formation energy: -1045 kJ/mol of formula units
- Uncorrected energy: -687.057 eV for the cell shown

Cell and atoms, written as CIF:
```
data_K2LiVS4
_chemical_formula_sum 'K16 Li8 V8 S32'
_space_group_name_H-M_alt 'C 1 2/c 1'
_space_group_IT_number 15
_cell_length_a 10.457
_cell_length_b 8.384
_cell_length_c 17.782
_cell_angle_alpha 90.00
_cell_angle_beta 94.20
_cell_angle_gamma 90.00
loop_
_space_group_symop_operation_xyz
'x,y,z'
'-x,-y,-z'
'-x,y,-z+1/2'
'x,-y,z+1/2'
'x+1/2,y+1/2,z'
'-x+1/2,-y+1/2,-z'
'-x+1/2,y+1/2,-z+1/2'
'x+1/2,-y+1/2,z+1/2'
loop_
_atom_site_label
_atom_site_type_symbol
_atom_site_fract_x
_atom_site_fract_y
_atom_site_fract_z
K1 K 0.000 0.000 0.000
K2 K 0.000 0.180 0.250
K3 K 0.132 0.476 0.929
Li1 Li 0.147 0.245 0.716
V1 V 0.247 0.443 0.146
S1 S 0.061 0.152 0.846
S2 S 0.118 0.281 0.087
S3 S 0.195 0.478 0.259
S4 S 0.242 0.332 0.590
```

(5)
Density functional theory data (SCAN) for a PBEsol-optimized structure of ZnSbF2.

Results
- Raw formation energy: -298 kJ/mol of formula units
- Uncorrected energy: -243.794 eV for the cell shown
- Energy above the lowest structure with this stoichiometry: 81.2 kJ/mol of atoms

Cell and atoms, written as CIF:
```
data_ZnSbF2
_chemical_formula_sum 'Zn4 Sb4 F8'
_space_group_name_H-M_alt 'F m -3 m'
_space_group_IT_number 225
_space_group_name_Hall '-F 4 2 3'
_cell_length_a 6.175
_cell_length_b 6.175
_cell_length_c 6.175
_cell_angle_alpha 90.00
_cell_angle_beta 90.00
_cell_angle_gamma 90.00
loop_
_atom_site_label
_atom_site_type_symbol
_atom_site_fract_x
_atom_site_fract_y
_atom_site_fract_z
Zn1 Zn 0.000 0.000 0.000
Sb1 Sb 0.000 0.000 0.500
F1 F 0.250 0.250 0.250
```

(6)
Density functional theory data (SCAN) for a PBEsol-optimized structure of BaCuP2.

Results
- Uncorrected energy: -155.453 eV for the cell shown

Cell and atoms, written as CIF:
```
data_BaCuP2
_chemical_formula_sum 'Ba2 Cu2 P4'
_space_group_name_H-M_alt 'C 1 2/m 1'
_space_group_IT_number 12
_cell_length_a 9.556
_cell_length_b 3.953
_cell_length_c 6.367
_cell_angle_alpha 90.00
_cell_angle_beta 131.43
_cell_angle_gamma 90.00
loop_
_space_group_symop_operation_xyz
'x,y,z'
'-x,-y,-z'
'-x,y,-z'
'x,-y,z'
'x+1/2,y+1/2,z'
'-x+1/2,-y+1/2,-z'
'-x+1/2,y+1/2,-z'
'x+1/2,-y+1/2,z'
loop_
_atom_site_label
_atom_site_type_symbol
_atom_site_fract_x
_atom_site_fract_y
_atom_site_fract_z
Ba1 Ba 0.000 0.000 0.000
Cu1 Cu 0.000 0.500 0.500
P1 P 0.158 0.000 0.658
```

| no. | total magnetization (μB per atom) |
| --- | --- |
| 1 | 0.000 |
| 2 | 0.701 |
| 3 | 0.442 |
| 4 | 0.000 |
| 5 | 0.000 |
| 6 | 0.000 |